VASP calculation (PBE+U) on a relaxed KMo3O crystal.

uncorrected energy: -2.71 eV per atom

Unit cell a=6.2791 b=6.2791 c=6.2791 alpha=90.00 beta=90.00 gamma=90.00
Last column: nearest neighbours and their distance in Å.
Sites, in units of the cell vectors:
Mo 0.0000 0.0000 0.5000  2 K 3.14
Mo 0.0000 0.5000 0.0000  2 K 3.14
Mo 0.5000 0.0000 0.0000  2 K 3.14
O 0.5000 0.5000 0.5000  12 Mo 4.44
K 0.0000 0.0000 0.0000  6 Mo 3.14